A plane-wave DFT calculation with PBE was carried out for an optimized crystal structure of CePuGa2.

The space group is P4/mmm (No. 123) and the conventional cell measures 4.498, 4.498 and 4.409 Å, with angles of 90.00, 90.00 and 90.00 degrees. The asymmetric unit holds Ce at (0.000, 0.000, 0.000), Pu at (0.500, 0.500, 0.000) and Ga at (0.000, 0.500, 0.500).

The energy of formation from the pure elements comes out at -0.4011 eV per atom. The relative energy among the computed polymorphs is 0.13 kcal/mol of atoms. The calculation puts the final energy at -6.981 eV/atom. As for the total moment: 6.36 μB per formula unit.

A plane-wave DFT calculation with PBE was carried out for an optimized crystal structure of Ce7Pu2Ga2.

The space group is C2/m (No. 12) and the conventional cell measures 7.197, 10.177 and 7.521 Å, with angles of 90.00, 90.91 and 90.00 degrees. The asymmetric unit holds Ce at (0.000, 0.000, 0.000), Ce at (0.194, 0.000, 0.556), Ce at (0.214, 0.198, 0.167), Pu at (0.015, 0.500, 0.808) and Ga at (0.000, 0.284, 0.500).

The energy of formation from the pure elements comes out at -0.0876 eV per atom. The calculation puts the final energy at -7.020 eV/atom. As for the total moment: 13.44 μB per formula unit.

A plane-wave DFT calculation with PBE was carried out for an optimized crystal structure of CePu2Ga2.

The space group is C2/m (No. 12) and the conventional cell measures 10.396, 4.829 and 8.897 Å, with angles of 90.00, 103.27 and 90.00 degrees. The asymmetric unit holds Ce at (0.245, 0.000, 0.266), Pu at (0.069, 0.000, 0.858), Pu at (0.133, 0.000, 0.606), Ga at (0.062, 0.500, 0.373) and Ga at (0.125, 0.500, 0.078).

The energy of formation from the pure elements comes out at -0.3179 eV per atom. The relative energy among the computed polymorphs is 0.00 kcal/mol of atoms. The calculation puts the final energy at -8.448 eV/atom. As for the total moment: 0.28 μB per formula unit.